# 1
DFT (GGA-PBE) results for Ac2TbTmO6 after structural relaxation.

Cell lengths 6.021, 6.187, 10.523 Å; angles 90.00, 124.81, 90.00 degrees
Sites, in units of the cell vectors:
1 Ac 0.236 0.047 0.250
2 Ac 0.236 0.453 0.750
3 Ac 0.764 0.547 0.250
4 Ac 0.764 0.953 0.750
5 Tb 0.500 0.000 0.000
6 Tb 0.500 0.500 0.500
7 Tm 0.000 0.000 0.500
8 Tm 0.000 0.500 0.000
9 O 0.134 0.203 0.938
10 O 0.134 0.297 0.438
11 O 0.237 0.698 0.939
12 O 0.237 0.802 0.439
13 O 0.361 0.048 0.747
14 O 0.361 0.452 0.247
15 O 0.639 0.548 0.753
16 O 0.639 0.952 0.253
17 O 0.763 0.198 0.561
18 O 0.763 0.302 0.061
19 O 0.866 0.703 0.562
20 O 0.866 0.797 0.062

The space-group type is No. 14. The calculation puts the density of states at the Fermi level at 0.000 states/eV/cell. Its formation energy (no corrections) is -3.474 eV per atom. The calculation puts the total magnetic moment at 0.00 μB per formula unit.

# 2
DFT (GGA-PBE) results for BIrNF2 after structural relaxation.

Cell lengths 4.309, 4.309, 3.711 Å; angles 90.00, 90.00, 90.00 degrees
Sites, in units of the cell vectors:
1 B 0.000 0.000 0.000
2 Ir 0.500 0.500 0.500
3 N 0.500 0.500 0.000
4 F 0.000 0.500 0.500
5 F 0.500 0.000 0.500

The calculation puts the relative energy among the computed polymorphs at 0.578 eV per atom. The space-group type is No. 123. The calculation puts the density of states at the Fermi level at 2.664 states/eV/cell. Its formation energy (no corrections) is 0.617 eV per atom. The calculation puts the total magnetic moment at 0.00 μB per formula unit.

# 3
DFT (GGA-PBE) results for Tb6PmDy2 after structural relaxation.

Cell lengths 10.695, 10.695, 5.041 Å; angles 90.00, 90.00, 90.00 degrees
Sites, in units of the cell vectors:
1 Tb 0.000 0.334 0.000
2 Tb 0.000 0.666 0.000
3 Tb 0.166 0.500 0.500
4 Tb 0.167 0.167 0.500
5 Tb 0.333 0.667 0.000
6 Tb 0.334 0.000 0.000
7 Tb 0.500 0.166 0.500
8 Tb 0.500 0.834 0.500
9 Tb 0.666 0.000 0.000
10 Tb 0.667 0.333 0.000
11 Tb 0.833 0.833 0.500
12 Tb 0.834 0.500 0.500
13 Pm 0.000 0.000 0.000
14 Pm 0.500 0.500 0.500
15 Dy 0.167 0.833 0.500
16 Dy 0.333 0.333 0.000
17 Dy 0.667 0.667 0.000
18 Dy 0.833 0.167 0.500

The calculation puts the relative energy among the computed polymorphs at 0.000 eV per atom. The space-group type is No. 136. The calculation puts the density of states at the Fermi level at 21.572 states/eV/cell. The value obtained for the formation energy is 0.016 eV/atom. The calculation puts the total magnetic moment at 0.00 μB per formula unit.

# 4
DFT (GGA-PBE) results for ErAs6Pd12 after structural relaxation.

Cell lengths 7.332, 7.332, 7.332 Å; angles 105.80, 105.80, 105.80 degrees
Sites, in units of the cell vectors:
1 Er 0.000 0.000 0.000
2 As 0.254 0.254 0.669
3 As 0.254 0.669 0.254
4 As 0.331 0.746 0.746
5 As 0.669 0.254 0.254
6 As 0.746 0.331 0.746
7 As 0.746 0.746 0.331
8 Pd 0.126 0.500 0.874
9 Pd 0.126 0.874 0.500
10 Pd 0.134 0.376 0.376
11 Pd 0.376 0.134 0.376
12 Pd 0.376 0.376 0.134
13 Pd 0.500 0.126 0.874
14 Pd 0.500 0.874 0.126
15 Pd 0.624 0.624 0.866
16 Pd 0.624 0.866 0.624
17 Pd 0.866 0.624 0.624
18 Pd 0.874 0.126 0.500
19 Pd 0.874 0.500 0.126

The space-group type is No. 166. The calculation puts the density of states at the Fermi level at 7.305 states/eV/cell. The value obtained for the formation energy is -0.345 eV/atom. The calculation puts the total magnetic moment at 0.00 μB per formula unit.

# 5
DFT (GGA-PBE) results for KCaRh after structural relaxation.

Cell lengths 4.306, 4.403, 14.854 Å; angles 81.74, 89.89, 60.77 degrees
Sites, in units of the cell vectors:
1 K 0.000 0.000 0.000
2 K 0.229 0.529 0.735
3 Ca 0.404 0.201 0.249
4 Ca 0.478 0.050 0.486
5 Rh 0.102 0.803 0.367
6 Rh 0.780 0.448 0.367

The space-group type is No. 1. The calculation puts the density of states at the Fermi level at 6.159 states/eV/cell. The value obtained for the formation energy is -0.149 eV/atom. The calculation puts the total magnetic moment at 0.34 μB per formula unit.

# 6
DFT (GGA-PBE) results for AcDyP2 after structural relaxation.

Cell lengths 7.247, 7.247, 7.247 Å; angles 90.00, 90.00, 90.00 degrees
Sites, in units of the cell vectors:
1 Ac 0.000 0.000 0.000
2 Ac 0.000 0.500 0.500
3 Ac 0.500 0.000 0.500
4 Ac 0.500 0.500 0.000
5 Dy 0.000 0.000 0.500
6 Dy 0.000 0.500 0.000
7 Dy 0.500 0.000 0.000
8 Dy 0.500 0.500 0.500
9 P 0.250 0.250 0.250
10 P 0.250 0.250 0.750
11 P 0.250 0.750 0.250
12 P 0.250 0.750 0.750
13 P 0.750 0.250 0.250
14 P 0.750 0.250 0.750
15 P 0.750 0.750 0.250
16 P 0.750 0.750 0.750

The calculation puts the relative energy among the computed polymorphs at 0.451 eV per atom. The space-group type is No. 225. The calculation puts the density of states at the Fermi level at 6.329 states/eV/cell. The value obtained for the formation energy is -1.044 eV/atom. The calculation puts the total magnetic moment at 0.00 μB per formula unit.

# 7
DFT (GGA-PBE) results for MgTa2Se after structural relaxation.

Cell lengths 3.623, 4.903, 8.861 Å; angles 90.00, 90.00, 90.00 degrees
Sites, in units of the cell vectors:
1 Mg 0.000 0.000 0.000
2 Mg 0.500 0.500 0.000
3 Ta 0.000 0.000 0.507
4 Ta 0.000 0.500 0.742
5 Ta 0.500 0.000 0.742
6 Ta 0.500 0.500 0.507
7 Se 0.000 0.500 0.289
8 Se 0.500 0.000 0.289

The calculation puts the relative energy among the computed polymorphs at 0.000 eV per atom. The space-group type is No. 35. The calculation puts the density of states at the Fermi level at 5.783 states/eV/cell. Its formation energy (no corrections) is -0.014 eV per atom. The calculation puts the total magnetic moment at 0.00 μB per formula unit.

# 8
DFT (GGA-PBE) results for NaMg3Be after structural relaxation.

Cell lengths 5.241, 5.241, 5.241 Å; angles 90.00, 90.00, 90.00 degrees
Sites, in units of the cell vectors:
1 Na 0.000 0.000 0.000
2 Mg 0.000 0.000 0.500
3 Mg 0.000 0.500 0.000
4 Mg 0.500 0.000 0.000
5 Be 0.500 0.500 0.500

The calculation puts the relative energy among the computed polymorphs at 0.952 eV per atom. The space-group type is No. 221. The calculation puts the density of states at the Fermi level at 2.626 states/eV/cell. The value obtained for the formation energy is 1.178 eV/atom. The calculation puts the total magnetic moment at 0.00 μB per formula unit.

# 9
DFT (GGA-PBE) results for MgAs2C2 after structural relaxation.

Cell lengths 6.917, 6.917, 3.169 Å; angles 90.00, 90.00, 90.00 degrees
Sites, in units of the cell vectors:
1 Mg 0.000 0.000 0.000
2 Mg 0.500 0.500 0.000
3 As 0.144 0.356 0.500
4 As 0.356 0.856 0.500
5 As 0.644 0.144 0.500
6 As 0.856 0.644 0.500
7 C 0.244 0.744 0.000
8 C 0.256 0.244 0.000
9 C 0.744 0.756 0.000
10 C 0.756 0.256 0.000

The calculation puts the relative energy among the computed polymorphs at 0.135 eV per atom. The space-group type is No. 127. The calculation puts the density of states at the Fermi level at 4.097 states/eV/cell. The value obtained for the formation energy is 1.088 eV/atom. The calculation puts the total magnetic moment at 0.00 μB per formula unit.

# 10
DFT (GGA-PBE) results for CsSbTe2F after structural relaxation.

Cell lengths 6.386, 6.386, 6.609 Å; angles 90.00, 90.00, 90.00 degrees
Sites, in units of the cell vectors:
1 Cs 0.000 0.000 0.000
2 Sb 0.000 0.000 0.500
3 Te 0.000 0.500 0.000
4 Te 0.500 0.000 0.000
5 F 0.500 0.500 0.500

The calculation puts the relative energy among the computed polymorphs at 1.406 eV per atom. The space-group type is No. 123. The calculation puts the density of states at the Fermi level at 14.556 states/eV/cell. Its formation energy (no corrections) is 1.003 eV per atom. The calculation puts the total magnetic moment at 0.40 μB per formula unit.

# 11
DFT (GGA-PBE) results for K2CrAgSe4 after structural relaxation.

Cell lengths 13.609, 12.243, 7.306 Å; angles 84.21, 63.51, 32.29 degrees
Sites, in units of the cell vectors:
1 K 0.057 0.057 0.693
2 K 0.307 0.307 0.943
3 K 0.693 0.693 0.057
4 K 0.943 0.943 0.307
5 Cr 0.375 0.375 0.375
6 Cr 0.625 0.625 0.625
7 Ag 0.125 0.125 0.125
8 Ag 0.875 0.875 0.875
9 Se 0.007 0.627 0.538
10 Se 0.328 0.538 0.627
11 Se 0.373 0.993 0.672
12 Se 0.462 0.672 0.993
13 Se 0.538 0.328 0.007
14 Se 0.627 0.007 0.328
15 Se 0.672 0.462 0.373
16 Se 0.993 0.373 0.462

The space-group type is No. 70. The calculation puts the density of states at the Fermi level at 8.543 states/eV/cell. Its formation energy (no corrections) is -0.664 eV per atom. The calculation puts the total magnetic moment at 1.00 μB per formula unit.

# 12
DFT (GGA-PBE) results for ReAgHg2 after structural relaxation.

Cell lengths 2.885, 2.885, 8.920 Å; angles 90.00, 90.00, 90.00 degrees
Sites, in units of the cell vectors:
1 Re 0.000 0.000 0.000
2 Ag 0.000 0.000 0.500
3 Hg 0.500 0.500 0.244
4 Hg 0.500 0.500 0.756

The calculation puts the relative energy among the computed polymorphs at 0.094 eV per atom. The space-group type is No. 123. The calculation puts the density of states at the Fermi level at 2.926 states/eV/cell. The value obtained for the formation energy is 0.658 eV/atom. The calculation puts the total magnetic moment at 0.66 μB per formula unit.